[1]
Compound: HoSc
Source: the Alexandria database
Functional: PBE
Structure: relaxed

a = 3.3568 Å, b = 5.2321 Å, c = 6.5414 Å
α = 90.01°, β = 104.87°, γ = 90.00°
Sites, in units of the cell vectors:
Ho: 0.1701 0.2501 0.3401
Ho: 0.8299 0.7499 0.6599
Sc: 0.5623 0.7500 0.1247
Sc: 0.4377 0.2500 0.8753

Values from the calculation:
- Fermi-level density of states (states/eV per atom) = 1.963
- energy above the most stable polymorph in this dataset (kJ/mol of formula units) = 1
- ΔH_f (0 K) (eV/atom) = 0.04

[2]
Compound: Ho3Sc
Source: the Alexandria database
Functional: PBE
Structure: relaxed

a = 4.8911 Å, b = 4.8911 Å, c = 4.8911 Å
α = 90.00°, β = 90.00°, γ = 90.00°
Sites, in units of the cell vectors:
Ho: 0.5000 0.5000 0.0000
Ho: 0.0000 0.5000 0.5000
Ho: 0.5000 0.0000 0.5000
Sc: 0.0000 0.0000 0.0000

Values from the calculation:
- Fermi-level density of states (states/eV per atom) = 1.559
- energy above the most stable polymorph in this dataset (kJ/mol of formula units) = 10
- ΔH_f (0 K) (eV/atom) = 0.04

[3]
Compound: Ho4Sc
Source: the Alexandria database
Functional: PBE
Structure: relaxed

a = 6.8862 Å, b = 6.3643 Å, c = 9.2083 Å
α = 63.49°, β = 68.04°, γ = 57.25°
Each line ends with the local moment (μB).
Sites, in units of the cell vectors:
Ho: 0.3037 0.6080 0.7846  0.03
Ho: 0.1964 0.3919 0.2154  0.03
Ho: 0.8036 0.6081 0.7846  0.03
Ho: 0.6963 0.3920 0.2154  0.03
Ho: 0.3482 0.1967 0.6069  0.00
Ho: 0.8482 0.1967 0.6069  0.00
Ho: 0.6518 0.8033 0.3931  0.00
Ho: 0.1518 0.8033 0.3931  0.00
Sc: 0.7500 0.0000 0.0000  0.07
Sc: 0.2500 0.0000 0.0000  0.07

Values from the calculation:
- Fermi-level density of states (states/eV per atom) = 1.811
- energy above the most stable polymorph in this dataset (kJ/mol of formula units) = 17
- ΔH_f (0 K) (eV/atom) = 0.07

[4]
Compound: Ho6Sc7
Source: the Alexandria database
Functional: PBE
Structure: relaxed

a = 6.2732 Å, b = 6.2732 Å, c = 11.7273 Å
α = 74.49°, β = 74.49°, γ = 60.00°
Each line ends with the local moment (μB).
Sites, in units of the cell vectors:
Sc: 0.4120 0.9101 0.7679  0.53
Sc: 0.0899 0.5880 0.2321  0.53
Sc: 0.9101 0.9101 0.7679  0.53
Sc: 0.0899 0.0899 0.2321  0.53
Sc: 0.0000 0.0000 0.0000  0.54
Sc: 0.9101 0.4120 0.7679  0.53
Sc: 0.5880 0.0899 0.2321  0.53
Ho: 0.8327 0.8327 0.5020  0.58
Ho: 0.4525 0.4525 0.6425  0.58
Ho: 0.1673 0.1673 0.4980  0.58
Ho: 0.3498 0.3498 0.9506  0.68
Ho: 0.5475 0.5475 0.3575  0.58
Ho: 0.6502 0.6502 0.0494  0.68

Values from the calculation:
- Fermi-level density of states (states/eV per atom) = 2.204
- ΔH_f (0 K) (eV/atom) = 0.22